Entry 1:
VASP calculation (GGA-PBE) on a geometry-optimized Ho2Tm2Pb structure.

Computed properties:
Calculated density = 9.13 g/cm³
Formation energy = 1.34 eV/f.u.
Magnetization = 0.0 μB per cell
Crystal system = tetragonal

abc: 4.3544 4.3544 8.9364
angles: 104.10 104.10 90.00
Closest atoms and distances in Å follow each position.
Sites, in units of the cell vectors:
Ho1 0.7500 0.2500 0.5000  4 Ho 3.08
Ho2 0.2500 0.7500 0.5000  4 Ho 3.08
Tm1 0.4104 0.4104 0.8208  1 Tm 3.01
Tm2 0.5896 0.5896 0.1792  1 Tm 3.01
Pb1 0.0000 0.0000 0.0000  8 Tm 3.43

***

Entry 2:
VASP calculation (GGA-PBE) on a geometry-optimized Ho3Tm6Pb structure.

Computed properties:
Calculated density = 9.01 g/cm³
Formation energy = 1.52 eV/f.u.
Magnetization = 0.0 μB per cell
Crystal system = orthorhombic

abc: 7.5207 9.2476 9.2476
angles: 100.38 90.00 90.00
Closest atoms and distances in Å follow each position.
Sites, in units of the cell vectors:
Ho1 0.3916 0.0078 0.7210  6 Tm 3.06-3.43, 1 Pb 3.08, 1 Ho 3.21
Ho2 0.8916 0.7210 0.0078  6 Tm 3.06-3.43, 1 Pb 3.08, 1 Ho 3.21
Ho3 0.3338 0.3716 0.6284  9 Tm 3.48-3.86, 1 Pb 3.49, 2 Ho 3.64
Ho4 0.8338 0.6284 0.3716  9 Tm 3.48-3.86, 1 Pb 3.49, 2 Ho 3.64
Ho5 0.8916 0.9922 0.2790  6 Tm 3.06-3.43, 1 Pb 3.08, 1 Ho 3.21
Ho6 0.3916 0.2790 0.9922  6 Tm 3.06-3.43, 1 Pb 3.08, 1 Ho 3.21
Tm1 0.0906 0.7256 0.6866  4 Ho 3.33-3.70, 5 Tm 3.41-3.68
Tm2 0.5906 0.6866 0.7256  4 Ho 3.33-3.70, 5 Tm 3.41-3.68
Tm3 0.2893 0.5981 0.9842  2 Ho 3.06-3.19, 1 Pb 3.16, 1 Tm 3.41
Tm4 0.7893 0.9842 0.5981  2 Ho 3.06-3.19, 1 Pb 3.16, 1 Tm 3.41
Tm5 0.2139 0.9673 0.0327  2 Pb 3.24-3.26, 4 Ho 3.26-3.31, 2 Tm 3.41
Tm6 0.8461 0.3809 0.6191  1 Pb 3.26, 4 Tm 3.41-3.64, 1 Ho 3.52
Tm7 0.3461 0.6191 0.3809  1 Pb 3.26, 4 Tm 3.41-3.64, 1 Ho 3.52
Tm8 0.7139 0.0327 0.9673  2 Pb 3.24-3.26, 4 Ho 3.26-3.31, 2 Tm 3.41
Tm9 0.2893 0.0158 0.4019  2 Ho 3.06-3.19, 1 Pb 3.16, 1 Tm 3.41
Tm10 0.7893 0.4019 0.0158  2 Ho 3.06-3.19, 1 Pb 3.16, 1 Tm 3.41
Tm11 0.0906 0.3134 0.2744  4 Ho 3.33-3.70, 5 Tm 3.41-3.68
Tm12 0.5906 0.2744 0.3134  4 Ho 3.33-3.70, 5 Tm 3.41-3.68
Pb1 0.0487 0.1781 0.8219  2 Ho 3.08, 5 Tm 3.16-3.26
Pb2 0.5487 0.8219 0.1781  2 Ho 3.08, 5 Tm 3.16-3.26

***

Entry 3:
VASP calculation (GGA-PBE) on a geometry-optimized HoTm4Pb structure.

Computed properties:
Calculated density = 8.79 g/cm³
Formation energy = 0.21 eV/f.u.
Magnetization = 0.0 μB per cell
Crystal system = orthorhombic

abc: 5.2529 6.7061 11.5408
angles: 90.00 103.15 90.00
Closest atoms and distances in Å follow each position.
Sites, in units of the cell vectors:
Ho1 0.8568 0.7389 0.7137  10 Tm 3.32-3.70, 2 Pb 3.46
Ho2 0.1432 0.2389 0.2863  10 Tm 3.32-3.70, 2 Pb 3.46
Tm1 0.8544 0.2346 0.7087  2 Ho 3.32-3.38, 8 Tm 3.44-3.65, 2 Pb 3.52
Tm2 0.1456 0.7346 0.2913  2 Ho 3.32-3.38, 8 Tm 3.44-3.65, 2 Pb 3.52
Tm3 0.4395 0.9960 0.8791  3 Pb 3.05-3.39, 1 Tm 3.37
Tm4 0.5605 0.4960 0.1209  3 Pb 3.05-3.39, 1 Tm 3.37
Tm5 0.7106 0.4862 0.4212  7 Tm 3.14-3.44, 2 Ho 3.46
Tm6 0.2894 0.9862 0.5788  7 Tm 3.14-3.44, 2 Ho 3.46
Tm7 0.7132 0.9854 0.4264  1 Pb 3.10, 6 Tm 3.14-3.47
Tm8 0.2868 0.4854 0.5736  1 Pb 3.10, 6 Tm 3.14-3.47
Pb1 0.5753 0.9923 0.1507  4 Tm 3.05-3.39
Pb2 0.4247 0.4923 0.8493  4 Tm 3.05-3.39

***

Entry 4:
VASP calculation (GGA-PBE) on a geometry-optimized HoTm4Pb5 structure.

Computed properties:
Calculated density = 10.27 g/cm³
Energy above the most stable polymorph in this dataset = 110 meV per atom
Formation energy = -2.68 eV/f.u.
Magnetization = 0.0 μB per cell
Crystal system = tetragonal

abc: 6.2380 7.6401 7.6401
angles: 80.41 65.91 65.91
Closest atoms and distances in Å follow each position.
Sites, in units of the cell vectors:
Ho1 0.0047 0.0000 0.0000  6 Pb 3.12-3.13
Tm1 0.3991 0.4001 0.8019  6 Pb 3.11-3.12
Tm2 0.7992 0.8019 0.5999  6 Pb 3.11-3.12
Tm3 0.2010 0.1981 0.4001  6 Pb 3.11-3.12
Tm4 0.6011 0.5999 0.1981  6 Pb 3.11-3.12
Pb1 0.9006 0.4011 0.7977  5 Tm 3.11-3.12, 1 Ho 3.13
Pb2 0.3017 0.7977 0.5989  5 Tm 3.11-3.12, 1 Ho 3.13
Pb3 0.6983 0.2023 0.4011  5 Tm 3.11-3.12, 1 Ho 3.13
Pb4 0.0995 0.5989 0.2023  5 Tm 3.11-3.12, 1 Ho 3.13
Pb5 0.5051 0.0000 0.0000  4 Tm 3.11, 2 Ho 3.12

***

Entry 5:
VASP calculation (GGA-PBE) on a geometry-optimized Ho3TmPb2 structure.

Computed properties:
Calculated density = 10.23 g/cm³
Formation energy = -2.43 eV/f.u.
Magnetization = 0.0 μB per cell
Crystal system = tetragonal

abc: 4.5398 4.5398 8.4945
angles: 90.00 90.00 90.00
Closest atoms and distances in Å follow each position.
Sites, in units of the cell vectors:
Ho1 0.5000 0.0000 0.3401  5 Pb 3.19-3.24
Ho2 0.0000 0.5000 0.6599  5 Pb 3.19-3.24
Ho3 0.0000 0.0000 0.0000  4 Tm 3.21, 4 Pb 3.32
Tm1 0.5000 0.5000 0.0000  4 Ho 3.21, 4 Pb 3.32
Pb1 0.5000 0.0000 0.7152  7 Ho 3.19-3.32, 2 Tm 3.32
Pb2 0.0000 0.5000 0.2848  7 Ho 3.19-3.32, 2 Tm 3.32

***

Entry 6:
VASP calculation (GGA-PBE) on a geometry-optimized Ho3TmPb4 structure.

Computed properties:
Calculated density = 10.98 g/cm³
Energy above the most stable polymorph in this dataset = 0 meV per atom
Formation energy = -3.36 eV/f.u.
Magnetization = 0.0 μB per cell
Crystal system = orthorhombic

abc: 6.3775 6.3782 11.0949
angles: 90.00 90.00 90.00
Closest atoms and distances in Å follow each position.
Sites, in units of the cell vectors:
Pb1 0.9997 0.8102 0.0000  2 Tm 3.19, 2 Ho 3.19
Pb2 0.4995 0.3104 0.0000  2 Tm 3.19, 4 Ho 3.19-3.57
Pb3 0.7506 0.0609 0.7500  4 Ho 3.19
Pb4 0.2494 0.5609 0.7500  4 Ho 3.19
Pb5 0.5005 0.8104 0.5000  2 Tm 3.19, 4 Ho 3.19-3.57
Pb6 0.0003 0.3102 0.5000  2 Tm 3.19, 2 Ho 3.19
Pb7 0.2494 0.5609 0.2500  4 Ho 3.19
Pb8 0.7506 0.0609 0.2500  4 Ho 3.19
Tm1 0.4996 0.8105 0.0000  4 Pb 3.19
Tm2 0.5004 0.3105 0.5000  4 Pb 3.19
Ho1 0.9995 0.3102 0.0000  6 Pb 3.19-3.57
Ho2 0.2509 0.0609 0.7499  4 Pb 3.19
Ho3 0.7491 0.5609 0.7501  4 Pb 3.19
Ho4 0.0005 0.8102 0.5000  6 Pb 3.19-3.57
Ho5 0.7491 0.5609 0.2499  4 Pb 3.19
Ho6 0.2509 0.0609 0.2501  4 Pb 3.19

***

Entry 7:
VASP calculation (GGA-PBE) on a geometry-optimized HoTm12Pb7 structure.

Computed properties:
Calculated density = 10.12 g/cm³
Formation energy = -4.38 eV/f.u.
Magnetization = 0.0 μB per cell
Crystal system = trigonal

abc: 9.2806 9.2806 9.2806
angles: 110.22 110.22 110.22
Closest atoms and distances in Å follow each position.
Sites, in units of the cell vectors:
Ho1 0.0000 0.0000 0.0000  6 Pb 3.38
Tm1 0.9997 0.2791 0.7206  4 Pb 3.14-3.36, 2 Tm 3.30
Tm2 0.7209 0.2794 0.0003  4 Pb 3.14-3.36, 2 Tm 3.30
Tm3 0.5052 0.1716 0.5054  4 Pb 3.08-3.35, 1 Tm 3.12
Tm4 0.8284 0.4946 0.4948  4 Pb 3.08-3.35, 1 Tm 3.12
Tm5 0.2794 0.0003 0.7209  4 Pb 3.14-3.36, 2 Tm 3.30
Tm6 0.4946 0.4948 0.8284  4 Pb 3.08-3.35, 1 Tm 3.12
Tm7 0.5054 0.5052 0.1716  4 Pb 3.08-3.35, 1 Tm 3.12
Tm8 0.7206 0.9997 0.2791  4 Pb 3.14-3.36, 2 Tm 3.30
Tm9 0.1716 0.5054 0.5052  4 Pb 3.08-3.35, 1 Tm 3.12
Tm10 0.4948 0.8284 0.4946  4 Pb 3.08-3.35, 1 Tm 3.12
Tm11 0.2791 0.7206 0.9997  4 Pb 3.14-3.36, 2 Tm 3.30
Tm12 0.0003 0.7209 0.2794  4 Pb 3.14-3.36, 2 Tm 3.30
Pb1 0.8693 0.5655 0.8694  7 Tm 3.14-3.36, 1 Ho 3.38
Pb2 0.4345 0.1306 0.1307  7 Tm 3.14-3.36, 1 Ho 3.38
Pb3 0.1306 0.1307 0.4345  7 Tm 3.14-3.36, 1 Ho 3.38
Pb4 0.5000 0.5000 0.5000  6 Tm 3.08
Pb5 0.8694 0.8693 0.5655  7 Tm 3.14-3.36, 1 Ho 3.38
Pb6 0.5655 0.8694 0.8693  7 Tm 3.14-3.36, 1 Ho 3.38
Pb7 0.1307 0.4345 0.1306  7 Tm 3.14-3.36, 1 Ho 3.38

***

Entry 8:
VASP calculation (GGA-PBE) on a geometry-optimized Ho12Tm7Pb structure.

Computed properties:
Calculated density = 8.93 g/cm³
Formation energy = 3.27 eV/f.u.
Magnetization = 0.1 μB per cell
Crystal system = trigonal

abc: 8.5597 8.5597 8.5597
angles: 88.71 88.71 88.71
Closest atoms and distances in Å follow each position.
Sites, in units of the cell vectors:
Ho1 0.8690 0.2647 0.7425  5 Ho 3.22-3.49, 1 Pb 3.32, 2 Tm 3.49-3.59
Ho2 0.7353 0.2575 0.1310  5 Ho 3.22-3.49, 1 Pb 3.32, 2 Tm 3.49-3.59
Ho3 0.6168 0.1450 0.5005  2 Tm 3.18-3.45, 4 Ho 3.22-3.42
Ho4 0.8550 0.4995 0.3832  2 Tm 3.18-3.45, 4 Ho 3.22-3.42
Ho5 0.2575 0.1310 0.7353  5 Ho 3.22-3.49, 1 Pb 3.32, 2 Tm 3.49-3.59
Ho6 0.4995 0.3832 0.8550  2 Tm 3.18-3.45, 4 Ho 3.22-3.42
Ho7 0.5005 0.6168 0.1450  2 Tm 3.18-3.45, 4 Ho 3.22-3.42
Ho8 0.7425 0.8690 0.2647  5 Ho 3.22-3.49, 1 Pb 3.32, 2 Tm 3.49-3.59
Ho9 0.1450 0.5005 0.6168  2 Tm 3.18-3.45, 4 Ho 3.22-3.42
Ho10 0.3832 0.8550 0.4995  2 Tm 3.18-3.45, 4 Ho 3.22-3.42
Ho11 0.2647 0.7425 0.8690  5 Ho 3.22-3.49, 1 Pb 3.32, 2 Tm 3.49-3.59
Ho12 0.1310 0.7353 0.2575  5 Ho 3.22-3.49, 1 Pb 3.32, 2 Tm 3.49-3.59
Tm1 0.8526 0.6157 0.9416  3 Tm 3.33-3.49, 4 Ho 3.45-3.65, 1 Pb 3.60
Tm2 0.3843 0.0584 0.1474  3 Tm 3.33-3.49, 4 Ho 3.45-3.65, 1 Pb 3.60
Tm3 0.0584 0.1474 0.3843  3 Tm 3.33-3.49, 4 Ho 3.45-3.65, 1 Pb 3.60
Tm4 0.5000 0.5000 0.5000  6 Ho 3.18
Tm5 0.9416 0.8526 0.6157  3 Tm 3.33-3.49, 4 Ho 3.45-3.65, 1 Pb 3.60
Tm6 0.6157 0.9416 0.8526  3 Tm 3.33-3.49, 4 Ho 3.45-3.65, 1 Pb 3.60
Tm7 0.1474 0.3843 0.0584  3 Tm 3.33-3.49, 4 Ho 3.45-3.65, 1 Pb 3.60
Pb1 0.0000 0.0000 0.0000  6 Ho 3.32, 6 Tm 3.60

***

Entry 9:
VASP calculation (GGA-PBE) on a geometry-optimized HoTm2Pb5 structure.

Computed properties:
Calculated density = 11.28 g/cm³
Formation energy = -2.31 eV/f.u.
Magnetization = 0.0 μB per cell
Crystal system = tetragonal

abc: 6.6651 6.6652 6.6654
angles: 106.89 106.91 114.75
Closest atoms and distances in Å follow each position.
Sites, in units of the cell vectors:
Ho1 0.7783 0.7783 0.0000  10 Pb 3.33-3.60
Tm1 0.2778 0.7779 0.5002  8 Pb 3.33, 2 Tm 3.59
Tm2 0.7776 0.2777 0.4998  8 Pb 3.33, 2 Tm 3.59
Pb1 0.2780 0.2782 0.5003  4 Tm 3.33, 4 Pb 3.33-3.59, 2 Ho 3.33
Pb2 0.2781 0.7776 0.0000  4 Tm 3.33, 4 Pb 3.33-3.59, 2 Ho 3.33
Pb3 0.7779 0.2780 0.0000  2 Ho 3.33, 4 Pb 3.33-3.59, 4 Tm 3.33
Pb4 0.7776 0.7778 0.4997  4 Tm 3.33, 4 Pb 3.33-3.59, 2 Ho 3.33
Pb5 0.2777 0.2775 0.0000  8 Pb 3.33, 2 Ho 3.59-3.60

***

Entry 10:
VASP calculation (GGA-PBE) on a geometry-optimized HoTm6Pb2 structure.

Computed properties:
Calculated density = 10.17 g/cm³
Formation energy = -1.47 eV/f.u.
Magnetization = 0.0 μB per cell
Crystal system = monoclinic

abc: 5.9758 9.5913 9.5913
angles: 72.91 83.51 83.51
Closest atoms and distances in Å follow each position.
Sites, in units of the cell vectors:
Ho1 0.2500 0.1142 0.8858  10 Tm 3.38-3.57
Ho2 0.7500 0.8858 0.1142  10 Tm 3.38-3.57
Tm1 0.4768 0.6766 0.4401  4 Pb 3.20-3.49, 5 Tm 3.23-3.50, 1 Ho 3.52
Tm2 0.0232 0.5599 0.3234  4 Pb 3.20-3.49, 5 Tm 3.23-3.50, 1 Ho 3.52
Tm3 0.5232 0.3234 0.5599  4 Pb 3.20-3.49, 5 Tm 3.23-3.50, 1 Ho 3.52
Tm4 0.9768 0.4401 0.6766  4 Pb 3.20-3.49, 5 Tm 3.23-3.50, 1 Ho 3.52
Tm5 0.6581 0.1019 0.3577  5 Tm 3.26-3.44, 4 Pb 3.29-3.62, 1 Ho 3.51
Tm6 0.8419 0.6423 0.8981  5 Tm 3.26-3.44, 4 Pb 3.29-3.62, 1 Ho 3.51
Tm7 0.3419 0.8981 0.6423  5 Tm 3.26-3.44, 4 Pb 3.29-3.62, 1 Ho 3.51
Tm8 0.1581 0.3577 0.1019  5 Tm 3.26-3.44, 4 Pb 3.29-3.62, 1 Ho 3.51
Tm9 0.3048 0.7456 0.0138  2 Pb 3.19-3.42, 4 Tm 3.36-3.44, 2 Ho 3.38-3.46
Tm10 0.1952 0.9862 0.2544  2 Pb 3.19-3.42, 4 Tm 3.36-3.44, 2 Ho 3.38-3.46
Tm11 0.6952 0.2544 0.9862  2 Pb 3.19-3.42, 4 Tm 3.36-3.44, 2 Ho 3.38-3.46
Tm12 0.8048 0.0138 0.7456  2 Pb 3.19-3.42, 4 Tm 3.36-3.44, 2 Ho 3.38-3.46
Pb1 0.4137 0.5270 0.7854  9 Tm 3.19-3.49
Pb2 0.0863 0.2146 0.4730  9 Tm 3.19-3.49
Pb3 0.5863 0.4730 0.2146  9 Tm 3.19-3.49
Pb4 0.9137 0.7854 0.5270  9 Tm 3.19-3.49

***

Entry 11:
VASP calculation (GGA-PBE) on a geometry-optimized HoTm3Pb3 structure.

Computed properties:
Calculated density = 10.67 g/cm³
Energy above the most stable polymorph in this dataset = 0 meV per atom
Formation energy = -3.44 eV/f.u.
Magnetization = 0.0 μB per cell
Crystal system = cubic

abc: 9.3034 9.3034 9.3034
angles: 90.00 90.00 90.00
Closest atoms and distances in Å follow each position.
Sites, in units of the cell vectors:
Ho1 0.0702 0.5702 0.9298  6 Pb 3.11-3.35
Ho2 0.9298 0.0702 0.5702  6 Pb 3.11-3.35
Ho3 0.4298 0.4298 0.4298  6 Pb 3.11-3.35
Ho4 0.5702 0.9298 0.0702  6 Pb 3.11-3.35
Tm1 0.8210 0.3210 0.1790  6 Pb 3.10-3.35
Tm2 0.9278 0.9278 0.9278  6 Pb 3.10-3.35
Tm3 0.8214 0.6786 0.3214  6 Pb 3.10-3.34
Tm4 0.1790 0.8210 0.3210  6 Pb 3.10-3.35
Tm5 0.1786 0.1786 0.1786  6 Pb 3.10-3.34
Tm6 0.3214 0.8214 0.6786  6 Pb 3.10-3.34
Tm7 0.0722 0.4278 0.5722  6 Pb 3.10-3.35
Tm8 0.3210 0.1790 0.8210  6 Pb 3.10-3.35
Tm9 0.6786 0.3214 0.8214  6 Pb 3.10-3.34
Tm10 0.6790 0.6790 0.6790  6 Pb 3.10-3.35
Tm11 0.5722 0.0722 0.4278  6 Pb 3.10-3.35
Tm12 0.4278 0.5722 0.0722  6 Pb 3.10-3.35
Pb1 0.7484 0.6247 0.0003  6 Tm 3.10-3.35, 2 Ho 3.11-3.35
Pb2 0.8753 0.9997 0.2484  6 Tm 3.10-3.35, 2 Ho 3.11-3.35
Pb3 0.0003 0.7484 0.6247  6 Tm 3.10-3.35, 2 Ho 3.11-3.35
Pb4 0.1247 0.4997 0.2516  6 Tm 3.10-3.35, 2 Ho 3.11-3.35
Pb5 0.2516 0.1247 0.4997  6 Tm 3.10-3.35, 2 Ho 3.11-3.35
Pb6 0.2484 0.8753 0.9997  6 Tm 3.10-3.35, 2 Ho 3.11-3.35
Pb7 0.9997 0.2484 0.8753  6 Tm 3.10-3.35, 2 Ho 3.11-3.35
Pb8 0.3753 0.5003 0.7516  6 Tm 3.10-3.35, 2 Ho 3.11-3.35
Pb9 0.4997 0.2516 0.1247  6 Tm 3.10-3.35, 2 Ho 3.11-3.35
Pb10 0.6247 0.0003 0.7484  6 Tm 3.10-3.35, 2 Ho 3.11-3.35
Pb11 0.7516 0.3753 0.5003  6 Tm 3.10-3.35, 2 Ho 3.11-3.35
Pb12 0.5003 0.7516 0.3753  6 Tm 3.10-3.35, 2 Ho 3.11-3.35

***

Entry 12:
VASP calculation (GGA-PBE) on a geometry-optimized HoTm7Pb4 structure.

Computed properties:
Calculated density = 10.06 g/cm³
Formation energy = -0.22 eV/f.u.
Magnetization = 0.0 μB per cell
Crystal system = monoclinic

abc: 5.7153 10.2559 7.0015
angles: 80.18 65.91 73.82
Closest atoms and distances in Å follow each position.
Sites, in units of the cell vectors:
Ho1 0.0000 0.0000 0.0000  2 Tm 2.86
Tm1 0.7849 0.9009 0.5293  4 Pb 3.12-3.22, 4 Tm 3.18-3.47, 1 Ho 3.46
Tm2 0.2151 0.0991 0.4707  4 Pb 3.12-3.22, 4 Tm 3.18-3.47, 1 Ho 3.46
Tm3 0.0392 0.6254 0.2962  4 Tm 3.18-3.47, 3 Pb 3.32-3.34
Tm4 0.9608 0.3746 0.7038  4 Tm 3.18-3.47, 3 Pb 3.32-3.34
Tm5 0.3437 0.5681 0.7446  4 Pb 3.00-3.24
Tm6 0.5000 0.0000 0.0000  2 Ho 2.86, 2 Pb 3.17
Tm7 0.6563 0.4319 0.2554  4 Pb 3.00-3.24
Pb1 0.5888 0.2147 0.6076  7 Tm 3.00-3.34
Pb2 0.4112 0.7853 0.3924  7 Tm 3.00-3.34
Pb3 0.7109 0.6784 0.8998  6 Tm 3.12-3.32, 1 Pb 3.38
Pb4 0.2891 0.3216 0.1002  6 Tm 3.12-3.32, 1 Pb 3.38